This record from the Alexandria database describes AcSmMgTl after structural relaxation. The functional is PBE.

Summary:
**ΔH_f (0 K)**: -0.211 eV/atom
**VASP energy**: -13.63 eV/cell
**Space group**: F-43m, No. 216

Cell: 5.6514 5.6514 5.6514 Å, 60.00 60.00 60.00°
Closest atoms and distances in Å follow each position.
Element x y z (fractional)
Mg1 0.0000 0.0000 0.0000  4 Ac 3.46, 4 Sm 3.46
Tl1 0.5000 0.5000 0.5000  4 Sm 3.46, 4 Ac 3.46
Sm1 0.2500 0.2500 0.2500  4 Tl 3.46, 4 Mg 3.46
Ac1 0.7500 0.7500 0.7500  4 Tl 3.46, 4 Mg 3.46


This record from the Alexandria database describes Li2MgTc after structural relaxation. The functional is PBE.

Summary:
**ΔH_f (0 K)**: 0.268 eV/atom
**VASP energy**: -14.72 eV/cell
**Space group**: Immm, No. 71

Cell: 5.7354 5.7354 5.7354 Å, 153.44 129.43 58.02°
Closest atoms and distances in Å follow each position.
Element x y z (fractional)
Tc1 0.2500 0.7500 0.5000  2 Tc 2.64, 4 Li 2.76, 4 Mg 2.78
Li1 0.0088 0.0088 0.0000  6 Li 2.64-2.79, 2 Tc 2.76, 2 Mg 2.91
Mg1 0.7500 0.2500 0.5000  2 Mg 2.64, 4 Tc 2.78, 4 Li 2.91
Li2 0.4912 0.4912 0.0000  6 Li 2.64-2.79, 2 Tc 2.76, 2 Mg 2.91


This record from the Alexandria database describes Pr3TeNCl after structural relaxation. The functional is PBE.

Summary:
**E_form (uncorrected)**: -8.0 eV/f.u.
**VASP energy**: -71.37 eV/cell
**Space group**: P2_1/m, No. 11

Cell: 3.7713 8.5291 10.6302 Å, 107.35 90.00 90.00°
Closest atoms and distances in Å follow each position.
Element x y z (fractional)
Pr1 0.7500 0.4862 0.1428  3 N 2.39-2.61
Pr2 0.2500 0.5138 0.8572  3 N 2.39-2.61
Cl1 0.2500 0.1643 0.6197  4 Pr 2.94-3.28
Pr3 0.7500 0.8608 0.1071  2 N 2.48
Pr4 0.2500 0.7130 0.5411  2 Cl 2.94, 2 Te 3.21
Cl2 0.7500 0.8357 0.3803  4 Pr 2.94-3.28
N1 0.2500 0.6659 0.0859  5 Pr 2.39-2.61
Pr5 0.7500 0.2870 0.4589  2 Cl 2.94, 2 Te 3.21
Pr6 0.2500 0.1392 0.8929  2 N 2.48
Te1 0.7500 0.8032 0.7965  7 Pr 3.19-3.33
Te2 0.2500 0.1968 0.2035  7 Pr 3.19-3.33
N2 0.7500 0.3341 0.9141  5 Pr 2.39-2.61


This record from the Alexandria database describes Na2LiCd6 after structural relaxation. The functional is PBE.

Summary:
**ΔH_f (0 K)**: -0.128 eV/atom
**ΔE to the lowest computed polymorph**: 0 meV per atom
**VASP energy**: -11.19 eV/cell
**Space group**: P6/mmm, No. 191

Cell: 3.1812 8.7695 8.7695 Å, 60.00 89.97 89.97°
Closest atoms and distances in Å follow each position.
Element x y z (fractional)
Cd1 0.5012 0.0000 0.3295  5 Cd 2.89-3.18
Na1 0.0000 0.3333 0.3333  2 Na 3.18, 12 Cd 3.34
Li1 0.0000 0.0000 0.0000  2 Li 3.18, 12 Cd 3.30
Na2 0.0000 0.6667 0.6667  2 Na 3.18, 12 Cd 3.34
Cd2 0.4988 0.6705 0.0000  5 Cd 2.89-3.18
Cd3 0.5000 0.6704 0.3296  5 Cd 2.89-3.18
Cd4 0.5012 0.3295 0.0000  5 Cd 2.89-3.18
Cd5 0.4988 0.0000 0.6705  5 Cd 2.89-3.18
Cd6 0.5000 0.3296 0.6704  5 Cd 2.89-3.18


This record from the Alexandria database describes CeDyTh after structural relaxation. The functional is PBE.

Summary:
**ΔH_f (0 K)**: 0.057 eV/atom
**ΔE to the lowest computed polymorph**: 34 meV per atom
**VASP energy**: -17.78 eV/cell
**Space group**: I4mm, No. 107

Cell: 3.5354 3.5354 7.8118 Å, 103.08 103.08 90.00°
Closest atoms and distances in Å follow each position.
Element x y z (fractional)
Ce1 0.6714 0.6714 0.3427  4 Th 3.43, 4 Ce 3.54, 4 Dy 3.58
Th1 0.3303 0.3303 0.6606  4 Ce 3.43, 4 Dy 3.53, 4 Th 3.54
Dy1 0.9984 0.9984 0.9967  4 Th 3.53, 4 Dy 3.54, 4 Ce 3.58


This record from the Alexandria database describes K3CuS3 after structural relaxation. The functional is PBE.

Summary:
**E_form (uncorrected)**: -4.6 eV/f.u.
**VASP energy**: -24.39 eV/cell
**Space group**: R3m, No. 160

Cell: 6.2368 6.5915 6.5915 Å, 110.54 108.38 108.38°
Closest atoms and distances in Å follow each position.
Element x y z (fractional)
K1 0.0008 0.0000 0.4418  4 S 3.16-3.22
S1 0.4679 0.0000 0.3478  1 Cu 2.18
K2 0.5590 0.5582 0.5582  4 S 3.16-3.22
S2 0.4679 0.3478 0.0000  1 Cu 2.18
S3 0.1201 0.6522 0.6522  1 Cu 2.18
Cu1 0.3584 0.0000 0.0000  3 S 2.18
K3 0.0008 0.4418 0.0000  4 S 3.16-3.22


This record from the Alexandria database describes Ba2CeRe2N6 after structural relaxation. The functional is PBE.

Summary:
**E_form (uncorrected)**: -8.3 eV/f.u.
**VASP energy**: -92.94 eV/cell
**Space group**: C2/m, No. 12

Cell: 6.1797 6.2783 7.2848 Å, 118.87 90.00 119.48°
Closest atoms and distances in Å follow each position.
Element x y z (fractional)
N1 0.2374 0.4748 0.3602  1 Re 1.81
Ce1 0.5000 0.0000 0.5000  6 N 2.36-2.46
Re1 0.9617 0.9234 0.8006  3 N 1.81-1.84
N2 0.2900 0.0932 0.7712  1 Re 1.84
Ba1 0.7129 0.4259 0.1862  5 N 2.89-3.04
Ba2 0.2871 0.5741 0.8138  5 N 2.89-3.04
N3 0.8033 0.0932 0.7712  1 Re 1.84
N4 0.1967 0.9068 0.2288  1 Re 1.84
N5 0.7100 0.9068 0.2288  1 Re 1.84
N6 0.7626 0.5252 0.6398  1 Re 1.81
Re2 0.0383 0.0766 0.1994  3 N 1.81-1.84


This record from the Alexandria database describes Tl2HgF after structural relaxation. The functional is PBE.

Summary:
**E_form (uncorrected)**: -3.0 eV/f.u.
**ΔE to the lowest computed polymorph**: 55 meV per atom
**VASP energy**: -9.88 eV/cell
**Space group**: P4/mmm, No. 123

Cell: 3.4223 3.4223 8.7170 Å, 90.00 90.00 90.00°
Closest atoms and distances in Å follow each position.
Element x y z (fractional)
F1 0.5000 0.5000 0.0000  8 Tl 2.94
Hg1 0.5000 0.5000 0.5000  4 Hg 3.42, 8 Tl 3.62
Tl1 0.0000 0.0000 0.8084  4 F 2.94
Tl2 0.0000 0.0000 0.1916  4 F 2.94


This record from the Alexandria database describes Mg2ReMo after structural relaxation. The functional is PBE.

Summary:
**ΔH_f (0 K)**: 0.123 eV/atom
**ΔE to the lowest computed polymorph**: 0 meV per atom
**VASP energy**: -25.98 eV/cell
**Space group**: P4mm, No. 99

Cell: 3.1961 3.1961 6.9665 Å, 90.00 90.00 90.00°
Closest atoms and distances in Å follow each position.
Element x y z (fractional)
Re1 0.5000 0.5000 0.7182  4 Mo 2.59, 4 Mg 2.89
Mg1 0.0000 0.0000 0.9758  4 Re 2.89, 8 Mg 3.05-3.20, 1 Mo 3.06
Mo1 0.0000 0.0000 0.5360  4 Re 2.59
Mg2 0.5000 0.5000 0.2699  4 Mo 2.92, 8 Mg 3.05-3.20, 1 Re 3.12


This record from the Alexandria database describes KPrS2O8 after structural relaxation. The functional is PBE.

Summary:
**E_form (uncorrected)**: -25.0 eV/f.u.
**ΔE to the lowest computed polymorph**: 0 meV per atom
**VASP energy**: -157.51 eV/cell
**Space group**: P-1, No. 2

Cell: 5.5512 7.0538 9.1432 Å, 82.14 91.92 90.21°
Closest atoms and distances in Å follow each position.
Element x y z (fractional)
O1 0.7041 0.9149 0.4156  1 S 1.47
O2 0.1737 0.1068 0.8827  1 S 1.49
O3 0.2959 0.0851 0.5844  1 S 1.47
S1 0.7457 0.8199 0.5683  4 O 1.47-1.51
O4 0.1087 0.3180 0.0656  1 S 1.48
S2 0.2543 0.1801 0.4317  4 O 1.47-1.51
S3 0.7352 0.7213 0.0551  4 O 1.48-1.49
O5 0.1983 0.0417 0.3259  1 S 1.49
O6 0.8913 0.6820 0.9344  1 S 1.48
O7 0.7382 0.5563 0.1755  1 S 1.49
O8 0.4819 0.7564 0.9976  1 S 1.49
O9 0.2618 0.4437 0.8245  1 S 1.49
Pr1 0.2137 0.8094 0.7783  8 O 2.42-2.61
O10 0.0403 0.3122 0.4229  1 S 1.51
O11 0.8017 0.9583 0.6741  1 S 1.49
O12 0.9597 0.6878 0.5771  1 S 1.51
S4 0.2648 0.2787 0.9449  4 O 1.48-1.49
K1 0.7492 0.3337 0.6877  4 O 2.68-2.98
O13 0.5181 0.2436 0.0024  1 S 1.49
O14 0.5280 0.7040 0.6150  1 S 1.50
O15 0.8263 0.8932 0.1173  1 S 1.49
Pr2 0.7863 0.1906 0.2217  8 O 2.42-2.61
O16 0.4720 0.2960 0.3850  1 S 1.50
K2 0.2508 0.6663 0.3123  4 O 2.68-2.98


This record from the Alexandria database describes ScAg2Bi2 after structural relaxation. The functional is PBE.

Summary:
**ΔH_f (0 K)**: -0.083 eV/atom
**ΔE to the lowest computed polymorph**: 0 meV per atom
**VASP energy**: -20.21 eV/cell
**Space group**: I4/mmm, No. 139

Cell: 3.9509 3.9509 8.5031 Å, 76.57 76.57 90.00°
Closest atoms and distances in Å follow each position.
Element x y z (fractional)
Bi1 0.6016 0.6016 0.7969  4 Ag 3.10, 4 Sc 3.24, 1 Bi 3.26
Sc1 0.0000 0.0000 0.0000  8 Bi 3.24
Bi2 0.3984 0.3984 0.2031  4 Ag 3.10, 4 Sc 3.24, 1 Bi 3.26
Ag1 0.2500 0.7500 0.5000  4 Ag 2.79, 4 Bi 3.10
Ag2 0.7500 0.2500 0.5000  4 Ag 2.79, 4 Bi 3.10


This record from the Alexandria database describes Si2AgAs after structural relaxation. The functional is PBE.

Summary:
**E_form (uncorrected)**: 1.9 eV/f.u.
**VASP energy**: -16.49 eV/cell
**Space group**: R-3m, No. 166

Cell: 9.2819 9.2819 9.2819 Å, 18.12 18.12 18.12°
Closest atoms and distances in Å follow each position.
Element x y z (fractional)
As1 0.7500 0.7500 0.7500  6 Si 2.84, 6 As 2.92
Ag1 0.2500 0.2500 0.2500  6 Si 2.84, 6 Ag 2.92
Si1 0.0001 0.0001 0.0001  3 As 2.84, 3 Ag 2.84, 6 Si 2.92
Si2 0.4999 0.4999 0.4999  3 As 2.84, 3 Ag 2.84, 6 Si 2.92